1.
A relaxed PPtW crystal. Source: the Alexandria database, functional PBE-GGA.

Geometry as POSCAR:
```
PPtW
1.0
-5.798 -0.187 -3.302
-5.587 -3.292 -1.582
1.276 2.813 4.920
Pt P W
2 2 2
Direct
0.889 0.889 0.707
0.111 0.111 0.293
0.673 0.673 0.641
0.327 0.327 0.359
0.128 0.128 0.831
0.872 0.872 0.169
```

Summary:
crystal system = monoclinic
symmetry = No. 12

2.
A relaxed P4PtW crystal. Source: the Alexandria database, functional PBE-GGA.

Geometry as POSCAR:
```
P4PtW
1.0
0.567 -1.640 4.631
-2.207 2.357 3.746
-3.799 -2.114 2.357
P Pt W
4 1 1
Direct
0.876 0.375 0.375
0.375 0.375 0.876
0.375 0.876 0.375
0.375 0.375 0.375
0.750 0.750 0.750
0.000 0.000 0.000
```

Summary:
crystal system = cubic
symmetry = No. 216

3.
A relaxed P2PtW crystal. Source: the Alexandria database, functional PBE-GGA.

Geometry as POSCAR:
```
P2PtW
1.0
-2.879 -0.491 -0.307
1.162 -1.679 2.111
-1.462 5.387 5.090
P Pt W
2 1 1
Direct
0.000 0.000 0.992
0.000 0.000 0.508
0.500 0.500 0.250
0.500 0.500 0.750
```

Summary:
crystal system = orthorhombic
symmetry = No. 65

4.
A relaxed P2PtW crystal. Source: the Alexandria database, functional PBE-GGA.

Geometry as POSCAR:
```
P2PtW
1.0
-4.704 -3.489 -1.046
-1.295 -3.931 -4.274
3.890 2.009 4.028
P Pt W
2 1 1
Direct
0.961 0.961 0.000
0.209 0.709 0.500
0.535 0.535 0.000
0.795 0.295 0.500
```

Summary:
crystal system = orthorhombic
symmetry = No. 44

Number 1: calculated formation energy -0.07 eV per atom. Number 2: calculated formation energy 0.78 eV per atom. Number 3: calculated formation energy 0.32 eV per atom. Number 4: calculated formation energy -0.08 eV per atom.